DFT (GGA-PBE) results for crystalline Pt2Rh6W at its relaxed geometry. Values from VASP.

```
&SYSTEM
  ibrav = 0, nat = 18, ntyp = 3
/
ATOMIC_SPECIES
Pt 195.08 Pt.upf
Rh 102.91 Rh.upf
W 183.84 W.upf
CELL_PARAMETERS angstrom
-1.6840 -1.7504 4.4416
6.3379 -3.8988 0.0196
2.7892 6.3437 2.7106
ATOMIC_POSITIONS crystal
Pt 0.1441 0.3909 0.3426
Pt 0.3559 0.6574 0.6091
Pt 0.8559 0.6091 0.6574
Pt 0.6441 0.3426 0.3909
Rh 0.5054 0.3316 0.7372
Rh 0.9946 0.2628 0.6684
Rh 0.4946 0.6684 0.2628
Rh 0.0054 0.7372 0.3316
Rh 0.7093 0.9339 0.5638
Rh 0.7907 0.4362 0.0661
Rh 0.2908 0.0661 0.4362
Rh 0.2092 0.5638 0.9339
Rh 0.3044 0.2300 0.0423
Rh 0.1956 0.9577 0.7700
Rh 0.6956 0.7700 0.9577
Rh 0.8044 0.0423 0.2300
W 0.2500 0.8990 0.1010
W 0.7500 0.1010 0.8990
```

Calculated values
E_form: 91 meV/atom
crystal system: monoclinic
final energy: -0.5580 Ry/atom
ΔE to the lowest computed polymorph: 0.244 eV/atom


DFT (GGA-PBE) results for crystalline La2Zn4HgAu3 at its relaxed geometry. Values from VASP.

```
&SYSTEM
  ibrav = 0, nat = 10, ntyp = 4
/
ATOMIC_SPECIES
La 138.91 La.upf
Zn 65.41 Zn.upf
Hg 200.59 Hg.upf
Au 196.97 Au.upf
CELL_PARAMETERS angstrom
4.3588 0.0000 0.0000
0.0000 4.3588 0.0000
0.0000 0.0000 11.3767
ATOMIC_POSITIONS crystal
La 0.5000 0.0000 0.2401
La 0.0000 0.5000 0.7599
Zn 0.5000 0.5000 0.0000
Zn 0.0000 0.0000 0.0000
Zn 0.5000 0.0000 0.6398
Zn 0.0000 0.5000 0.3602
Hg 0.5000 0.5000 0.5000
Au 0.0000 0.0000 0.5000
Au 0.5000 0.0000 0.8651
Au 0.0000 0.5000 0.1349
```

Calculated values
E_form: -500 meV/atom
crystal system: tetragonal
final energy: -0.2211 Ry/atom


DFT (GGA-PBE) results for crystalline PaBe2AgO6 at its relaxed geometry. Values from VASP.

```
&SYSTEM
  ibrav = 0, nat = 20, ntyp = 4
/
ATOMIC_SPECIES
Pa 231.04 Pa.upf
Be 9.01 Be.upf
Ag 107.87 Ag.upf
O 16.00 O.upf
CELL_PARAMETERS angstrom
5.1288 -0.1615 -0.1676
1.4373 6.5571 0.0487
1.4373 -0.1944 6.5544
ATOMIC_POSITIONS crystal
Pa 0.2500 0.3204 0.6796
Pa 0.7500 0.6796 0.3204
Be 0.1962 0.7886 0.6251
Be 0.3038 0.3749 0.2114
Be 0.8038 0.2114 0.3749
Be 0.6962 0.6251 0.7886
Ag 0.2500 0.9022 0.0978
Ag 0.7500 0.0978 0.9022
O 0.1355 0.9910 0.7717
O 0.3645 0.2283 0.0090
O 0.8645 0.0090 0.2283
O 0.6355 0.7717 0.9910
O 0.3694 0.8497 0.4075
O 0.1306 0.5925 0.1503
O 0.6306 0.1503 0.5925
O 0.8694 0.4075 0.8497
O 0.9278 0.6972 0.6033
O 0.5722 0.3967 0.3028
O 0.0722 0.3028 0.3967
O 0.4278 0.6033 0.6972
```

Calculated values
crystal system: monoclinic
formation energy without anion corrections: -2.21 eV/atom
final energy: -0.5267 Ry/atom


DFT (GGA-PBE) results for crystalline ZrNbAg at its relaxed geometry. Values from VASP.

```
&SYSTEM
  ibrav = 0, nat = 12, ntyp = 3
/
ATOMIC_SPECIES
Nb 92.91 Nb.upf
Zr 91.22 Zr.upf
Ag 107.87 Ag.upf
CELL_PARAMETERS angstrom
-4.1091 -1.4282 -2.2403
0.5757 -3.2271 1.0013
-7.2141 2.3533 11.7319
ATOMIC_POSITIONS crystal
Nb 0.5000 0.0000 0.7222
Nb 0.5000 0.5000 0.2222
Nb 0.5000 0.0000 0.3715
Nb 0.5000 0.5000 0.8715
Zr 0.5000 0.0000 0.0423
Zr 0.5000 0.5000 0.5423
Zr 0.0000 0.0000 0.2182
Zr 0.0000 0.5000 0.7182
Ag 0.0000 0.0000 0.8885
Ag 0.0000 0.5000 0.3885
Ag 0.0000 0.0000 0.5480
Ag 0.0000 0.5000 0.0480
```

Calculated values
E_form: 91 meV/atom
crystal system: orthorhombic
final energy: -0.5193 Ry/atom
ΔE to the lowest computed polymorph: 0.170 eV/atom


In order of appearance, N(E_F) = 1.350, 0.411, 0.192, 0.888 states/eV per atom.